Computed, not measured: a geometry-optimized SrCr2Cl structure at the PBE level of DFT.

Cell lengths 3.5490, 3.5490, 28.0466 Å; angles 90.00, 90.00, 120.00 degrees
Space group R-3m (No. 166, hexagonal axes)
Symmetry-distinct sites (fractional):
Sr: 0.0000 0.0000 0.0000 [3 per cell]
Cr: 0.0000 0.0000 0.2352 [6 per cell]
Cl: 0.0000 0.0000 0.5000 [3 per cell]

Calculated values
For the uncorrected formation energy, the calculation gives 0.54 eV per atom. The value obtained for the total energy is -5.150 eV per atom. As for the energy above the most stable polymorph in this dataset: 636.7 meV/atom. As for the crystal system: trigonal. Its density of states at the Fermi level is 0.4946 states/eV per atom.

=====

Computed, not measured: a geometry-optimized SrCr3Cl structure at the PBE level of DFT.

Cell lengths 4.5461, 4.5461, 4.5461 Å; angles 90.00, 90.00, 90.00 degrees
Space group Pm-3m (No. 221)
Symmetry-distinct sites (fractional):
Sr: 0.0000 0.0000 0.0000 [1 per cell]
Cr: 0.0000 0.5000 0.5000 [3 per cell]
Cl: 0.5000 0.5000 0.5000 [1 per cell]

Calculated values
For the uncorrected formation energy, the calculation gives 0.96 eV per atom. The value obtained for the total energy is -5.520 eV per atom. As for the energy above the most stable polymorph in this dataset: 0.0 meV/atom. As for the crystal system: cubic. Its density of states at the Fermi level is 1.5565 states/eV per atom.

=====

Computed, not measured: a geometry-optimized SrCrCl structure at the PBE level of DFT.

Cell lengths 5.2387, 5.2539, 14.3330 Å; angles 90.00, 90.00, 90.00 degrees
Space group Fmm2 (No. 42)
Symmetry-distinct sites (fractional):
Sr: 0.0000 0.0000 0.0000 [4 per cell]
Cr: 0.0000 0.0000 0.6631 [4 per cell]
Cl: 0.0000 0.0000 0.3970 [4 per cell]

Calculated values
For the uncorrected formation energy, the calculation gives -0.28 eV per atom. The value obtained for the total energy is -4.667 eV per atom. As for the energy above the most stable polymorph in this dataset: 0.0 meV/atom. As for the crystal system: orthorhombic. Its density of states at the Fermi level is 0.3289 states/eV per atom.

=====

Computed, not measured: a geometry-optimized Sr3CrCl structure at the PBE level of DFT.

Cell lengths 5.8096, 5.8096, 5.8096 Å; angles 90.00, 90.00, 90.00 degrees
Space group Pm-3m (No. 221)
Symmetry-distinct sites (fractional):
Sr: 0.0000 0.0000 0.5000 [3 per cell]
Cr: 0.5000 0.5000 0.5000 [1 per cell]
Cl: 0.0000 0.0000 0.0000 [1 per cell]

Calculated values
For the uncorrected formation energy, the calculation gives -0.15 eV per atom. The value obtained for the total energy is -3.449 eV per atom. As for the energy above the most stable polymorph in this dataset: 0.0 meV/atom. As for the crystal system: cubic. Its density of states at the Fermi level is 1.2250 states/eV per atom.

=====

Computed, not measured: a geometry-optimized SrCrCl structure at the PBE level of DFT.

Cell lengths 7.4962, 7.4962, 7.4962 Å; angles 90.00, 90.00, 90.00 degrees
Space group F-43m (No. 216)
Symmetry-distinct sites (fractional):
Sr: 0.0000 0.0000 0.0000 [4 per cell]
Cr: 0.2500 0.2500 0.7500 [4 per cell]
Cl: 0.0000 0.0000 0.5000 [4 per cell]

Calculated values
For the uncorrected formation energy, the calculation gives 0.20 eV per atom. The value obtained for the total energy is -4.182 eV per atom. As for the energy above the most stable polymorph in this dataset: 485.1 meV/atom. As for the crystal system: cubic. Its density of states at the Fermi level is 0.6577 states/eV per atom.

=====

Computed, not measured: a geometry-optimized SrCr2Cl structure at the PBE level of DFT.

Cell lengths 7.6927, 7.6927, 7.6927 Å; angles 90.00, 90.00, 90.00 degrees
Space group Fm-3m (No. 225)
Symmetry-distinct sites (fractional):
Sr: 0.0000 0.0000 0.0000 [4 per cell]
Cr: 0.2500 0.2500 0.2500 [8 per cell]
Cl: 0.0000 0.0000 0.5000 [4 per cell]

Calculated values
For the uncorrected formation energy, the calculation gives 0.82 eV per atom. The value obtained for the total energy is -4.877 eV per atom. As for the energy above the most stable polymorph in this dataset: 909.7 meV/atom. As for the crystal system: cubic. Its density of states at the Fermi level is 0.4818 states/eV per atom.

=====

Computed, not measured: a geometry-optimized Sr2CrCl2 structure at the PBE level of DFT.

Cell lengths 8.9651, 8.9651, 3.7030 Å; angles 90.00, 90.00, 90.00 degrees
Space group P4/mbm (No. 127)
Symmetry-distinct sites (fractional):
Sr: 0.1725 0.3275 0.0000 [4 per cell]
Cr: 0.0000 0.0000 0.0000 [2 per cell]
Cl: 0.1257 0.6257 0.5000 [4 per cell]

Calculated values
For the uncorrected formation energy, the calculation gives -0.71 eV per atom. The value obtained for the total energy is -4.050 eV per atom. As for the energy above the most stable polymorph in this dataset: 249.6 meV/atom. As for the crystal system: tetragonal. Its density of states at the Fermi level is 0.5031 states/eV per atom.

=====

Computed, not measured: a geometry-optimized SrCr2Cl structure at the PBE level of DFT.

Cell lengths 4.7954, 4.8603, 8.6741 Å; angles 90.00, 90.00, 90.00 degrees
Space group Cmmm (No. 65)
Symmetry-distinct sites (fractional):
Sr: 0.0000 0.0000 0.0000 [2 per cell]
Cr: 0.0000 0.5000 0.2989 [4 per cell]
Cl: 0.0000 0.0000 0.5000 [2 per cell]

Calculated values
For the uncorrected formation energy, the calculation gives 0.56 eV per atom. The value obtained for the total energy is -5.139 eV per atom. As for the energy above the most stable polymorph in this dataset: 648.1 meV/atom. As for the crystal system: orthorhombic. Its density of states at the Fermi level is 0.5247 states/eV per atom.

=====

Computed, not measured: a geometry-optimized SrCr2Cl structure at the PBE level of DFT.

Cell lengths 13.0594, 3.6149, 4.6914 Å; angles 90.00, 110.88, 90.00 degrees
Space group C2/m (No. 12)
Symmetry-distinct sites (fractional):
Sr: 0.0000 0.0000 0.0000 [2 per cell]
Cr: 0.2443 0.0000 0.7444 [4 per cell]
Cl: 0.0000 0.5000 0.5000 [2 per cell]

Calculated values
For the uncorrected formation energy, the calculation gives 0.24 eV per atom. The value obtained for the total energy is -5.457 eV per atom. As for the energy above the most stable polymorph in this dataset: 330.0 meV/atom. As for the crystal system: monoclinic. Its density of states at the Fermi level is 0.5340 states/eV per atom.

=====

Computed, not measured: a geometry-optimized SrCr2Cl structure at the PBE level of DFT.

Cell lengths 3.7762, 4.5431, 6.3048 Å; angles 90.00, 90.00, 90.00 degrees
Space group Pmmm (No. 47)
Symmetry-distinct sites (fractional):
Sr: 0.0000 0.0000 0.0000 [1 per cell]
Cr: 0.0000 0.5000 0.5000 [1 per cell]
Cr: 0.5000 0.0000 0.5000 [1 per cell]
Cl: 0.5000 0.5000 0.0000 [1 per cell]

Calculated values
For the uncorrected formation energy, the calculation gives 0.28 eV per atom. The value obtained for the total energy is -5.419 eV per atom. As for the energy above the most stable polymorph in this dataset: 368.0 meV/atom. As for the crystal system: orthorhombic. Its density of states at the Fermi level is 0.5112 states/eV per atom.

=====

Computed, not measured: a geometry-optimized SrCr2Cl structure at the PBE level of DFT.

Cell lengths 4.1847, 4.1847, 22.3309 Å; angles 90.00, 90.00, 120.00 degrees
Space group R3m (No. 160, hexagonal axes)
Symmetry-distinct sites (fractional):
Sr: 0.0000 0.0000 0.0000 [3 per cell]
Cr: 0.0000 0.0000 0.4583 [3 per cell]
Cr: 0.0000 0.0000 0.7677 [3 per cell]
Cl: 0.0000 0.0000 0.2588 [3 per cell]

Calculated values
For the uncorrected formation energy, the calculation gives 0.07 eV per atom. The value obtained for the total energy is -5.628 eV per atom. As for the energy above the most stable polymorph in this dataset: 158.8 meV/atom. As for the crystal system: trigonal. Its density of states at the Fermi level is 0.5494 states/eV per atom.

=====

Computed, not measured: a geometry-optimized SrCr2Cl structure at the PBE level of DFT.

Cell lengths 7.5323, 7.5323, 7.5323 Å; angles 90.00, 90.00, 90.00 degrees
Space group F-43m (No. 216)
Symmetry-distinct sites (fractional):
Sr: 0.0000 0.0000 0.0000 [4 per cell]
Cr: 0.0000 0.0000 0.5000 [4 per cell]
Cr: 0.2500 0.2500 0.7500 [4 per cell]
Cl: 0.2500 0.2500 0.2500 [4 per cell]

Calculated values
For the uncorrected formation energy, the calculation gives 0.51 eV per atom. The value obtained for the total energy is -5.182 eV per atom. As for the energy above the most stable polymorph in this dataset: 604.5 meV/atom. As for the crystal system: cubic. Its density of states at the Fermi level is 0.8820 states/eV per atom.

=====

Computed, not measured: a geometry-optimized SrCr2Cl structure at the PBE level of DFT.

Cell lengths 8.0674, 3.5988, 7.7084 Å; angles 90.00, 114.67, 90.00 degrees
Space group Cm (No. 8)
Symmetry-distinct sites (fractional):
Sr: 0.0000 0.0000 0.0000 [2 per cell]
Cr: 0.1680 0.0000 0.6814 [2 per cell]
Cr: 0.4277 0.0000 0.5873 [2 per cell]
Cl: 0.2997 0.5000 0.2516 [2 per cell]

Calculated values
For the uncorrected formation energy, the calculation gives 0.05 eV per atom. The value obtained for the total energy is -5.648 eV per atom. As for the energy above the most stable polymorph in this dataset: 138.6 meV/atom. As for the crystal system: monoclinic. Its density of states at the Fermi level is 0.4213 states/eV per atom.

=====

Computed, not measured: a geometry-optimized SrCrCl6 structure at the PBE level of DFT.

Cell lengths 6.4742, 6.4793, 6.9580 Å; angles 62.31, 62.34, 60.05 degrees
Space group P-1 (No. 2)
Symmetry-distinct sites (fractional):
Sr: 0.0000 0.0000 0.0000 [1 per cell]
Cr: 0.5000 0.5000 0.5000 [1 per cell]
Cl: 0.1163 0.6981 0.7244 [2 per cell]
Cl: 0.3017 0.5386 0.2756 [2 per cell]
Cl: 0.4612 0.1164 0.7244 [2 per cell]

Calculated values
For the uncorrected formation energy, the calculation gives -1.40 eV per atom. The value obtained for the total energy is -4.199 eV per atom. As for the crystal system: triclinic. Its density of states at the Fermi level is 0.8847 states/eV per atom.

=====

Computed, not measured: a geometry-optimized SrCr2Cl structure at the PBE level of DFT.

Cell lengths 5.7239, 10.9976, 3.7040 Å; angles 90.00, 90.00, 90.00 degrees
Space group Cmmm (No. 65)
Symmetry-distinct sites (fractional):
Sr: 0.0000 0.0000 0.0000 [2 per cell]
Cr: 0.2500 0.2500 0.5000 [4 per cell]
Cl: 0.0000 0.5000 0.0000 [2 per cell]

Calculated values
For the uncorrected formation energy, the calculation gives 0.48 eV per atom. The value obtained for the total energy is -5.211 eV per atom. As for the energy above the most stable polymorph in this dataset: 575.9 meV/atom. As for the crystal system: orthorhombic. Its density of states at the Fermi level is 0.6983 states/eV per atom.

=====

Computed, not measured: a geometry-optimized SrCr2Cl structure at the PBE level of DFT.

Cell lengths 4.6251, 4.6251, 18.0041 Å; angles 90.00, 90.00, 90.00 degrees
Space group I4_1/amd (No. 141, origin choice 2)
Symmetry-distinct sites (fractional):
Sr: 0.0000 0.2500 0.3750 [4 per cell]
Cr: 0.0000 0.0000 0.0000 [8 per cell]
Cl: 0.0000 0.2500 0.8750 [4 per cell]

Calculated values
For the uncorrected formation energy, the calculation gives 0.62 eV per atom. The value obtained for the total energy is -5.073 eV per atom. As for the energy above the most stable polymorph in this dataset: 713.4 meV/atom. As for the crystal system: tetragonal. Its density of states at the Fermi level is 0.9312 states/eV per atom.

=====

Computed, not measured: a geometry-optimized SrTa2CrCl structure at the PBE level of DFT.

Cell lengths 4.7487, 4.7487, 4.3957 Å; angles 90.00, 90.00, 90.00 degrees
Space group P4/mmm (No. 123)
Symmetry-distinct sites (fractional):
Sr: 0.0000 0.0000 0.0000 [1 per cell]
Ta: 0.0000 0.5000 0.5000 [2 per cell]
Cr: 0.5000 0.5000 0.0000 [1 per cell]
Cl: 0.5000 0.5000 0.5000 [1 per cell]

Calculated values
For the uncorrected formation energy, the calculation gives 1.08 eV per atom. The value obtained for the total energy is -6.290 eV per atom. As for the crystal system: tetragonal. Its density of states at the Fermi level is 1.5436 states/eV per atom.

=====

Computed, not measured: a geometry-optimized SrTlCrCl6 structure at the PBE level of DFT.

Cell lengths 7.0503, 7.0503, 13.1486 Å; angles 90.00, 90.00, 120.00 degrees
Space group P-31c (No. 163)
Symmetry-distinct sites (fractional):
Sr: 0.3333 0.6667 0.2500 [2 per cell]
Tl: 0.0000 0.0000 0.0000 [2 per cell]
Cr: 0.3333 0.6667 0.7500 [2 per cell]
Cl: 0.0562 0.3976 0.6439 [12 per cell]

Calculated values
For the uncorrected formation energy, the calculation gives -1.54 eV per atom. The value obtained for the total energy is -4.290 eV per atom. As for the crystal system: trigonal.

=====

Computed, not measured: a geometry-optimized SrTlCr2Cl8 structure at the PBE level of DFT.

Cell lengths 6.8139, 6.8139, 27.3620 Å; angles 90.00, 90.00, 120.00 degrees
Space group R-3 (No. 148, hexagonal axes)
Symmetry-distinct sites (fractional):
Sr: 0.0000 0.0000 0.0000 [3 per cell]
Tl: 0.0000 0.0000 0.5000 [3 per cell]
Cr: 0.0000 0.0000 0.2528 [6 per cell]
Cl: 0.0000 0.0000 0.1725 [6 per cell]
Cl: 0.0088 0.3556 0.0617 [18 per cell]

Calculated values
For the uncorrected formation energy, the calculation gives -1.24 eV per atom. The value obtained for the total energy is -4.412 eV per atom. As for the crystal system: trigonal. Its density of states at the Fermi level is 1.1977 states/eV per atom.

=====

Computed, not measured: a geometry-optimized TaCr3Cl structure at the PBE level of DFT.

Cell lengths 4.1287, 4.1287, 4.1287 Å; angles 90.00, 90.00, 90.00 degrees
Space group Pm-3m (No. 221)
Symmetry-distinct sites (fractional):
Ta: 0.0000 0.0000 0.0000 [1 per cell]
Cr: 0.0000 0.5000 0.5000 [3 per cell]
Cl: 0.5000 0.5000 0.5000 [1 per cell]

Calculated values
For the uncorrected formation energy, the calculation gives 0.81 eV per atom. The value obtained for the total energy is -7.709 eV per atom. As for the energy above the most stable polymorph in this dataset: 0.0 meV/atom. As for the crystal system: cubic. Its density of states at the Fermi level is 0.8396 states/eV per atom.

=====

| no. | spin magnetization (μB per cell) |
| --- | --- |
| 1 | 27.24 |
| 2 | 7.32 |
| 3 | 19.93 |
| 4 | 5.55 |
| 5 | 20.73 |
| 6 | 43.95 |
| 7 | 10.48 |
| 8 | 18.65 |
| 9 | 18.62 |
| 10 | 9.59 |
| 11 | 1.89 |
| 12 | 40.86 |
| 13 | 0.53 |
| 14 | 2.00 |
| 15 | 19.92 |
| 16 | 22.08 |
| 17 | 0.00 |
| 18 | 6.00 |
| 19 | 21.00 |
| 20 | 0.00 |